Record 1
Below is a relaxed structure of PIr2RuF, with properties calculated at the PBE-GGA level.

Calculated values
Crystal system   tetragonal
Uncorrected formation energy   6.232 eV per formula unit
Spin magnetization   0.0 μB per formula unit
VASP energy   -5.61 eV/atom

Lattice parameters (Å, degrees): 4.134 4.134 4.293 90.00 90.00 90.00
Fractional coordinates of all 5 atoms:
P: 0.000 0.000 0.000
Ir: 0.000 0.500 0.500
Ir: 0.500 0.000 0.500
Ru: 0.500 0.500 0.000
F: 0.000 0.000 0.500


Record 2
Below is a relaxed structure of TaZn2Re, with properties calculated at the PBE-GGA level.

Calculated values
Crystal system   monoclinic
Spin magnetization   0.0 μB per formula unit
VASP energy   -6.57 eV/atom
ΔE to the lowest computed polymorph   0.435 eV per formula unit
Formation enthalpy at 0 K   0.14 eV per atom

Lattice parameters (Å, degrees): 5.150 5.150 2.694 96.98 96.98 117.32
Fractional coordinates of all 4 atoms:
Ta: 0.000 0.000 0.000
Zn: 0.000 0.500 0.500
Zn: 0.500 0.000 0.500
Re: 0.500 0.500 0.000


Record 3
Below is a relaxed structure of Na2CuPbCl5, with properties calculated at the PBE-GGA level.

Calculated values
Crystal system   orthorhombic
Uncorrected formation energy   -11.102 eV per formula unit
Spin magnetization   0.0 μB per formula unit
VASP energy   -3.42 eV/atom

Lattice parameters (Å, degrees): 9.487 9.487 12.546 90.00 90.00 155.72
Fractional coordinates of all 18 atoms:
Na: 0.076 0.924 0.500
Na: 0.101 0.899 0.187
Na: 0.899 0.101 0.687
Na: 0.924 0.076 0.000
Cu: 0.431 0.569 0.268
Cu: 0.569 0.431 0.768
Pb: 0.203 0.797 0.882
Pb: 0.797 0.203 0.382
Cl: 0.041 0.959 0.856
Cl: 0.310 0.690 0.213
Cl: 0.311 0.689 0.546
Cl: 0.359 0.641 0.862
Cl: 0.500 0.500 0.112
Cl: 0.500 0.500 0.612
Cl: 0.641 0.359 0.362
Cl: 0.689 0.311 0.046
Cl: 0.690 0.310 0.713
Cl: 0.959 0.041 0.356


Record 4
Below is a relaxed structure of YTm3Sn3, with properties calculated at the PBE-GGA level.

Calculated values
Crystal system   trigonal
Spin magnetization   0.0 μB per formula unit
VASP energy   -5.06 eV/atom
Formation enthalpy at 0 K   -0.51 eV per atom

Lattice parameters (Å, degrees): 6.353 6.353 6.353 109.53 109.53 109.53
Fractional coordinates of all 7 atoms:
Y: 0.000 0.000 0.000
Tm: 0.400 0.400 0.805
Tm: 0.400 0.805 0.400
Tm: 0.805 0.400 0.400
Sn: 0.402 0.900 0.900
Sn: 0.900 0.402 0.900
Sn: 0.900 0.900 0.402


Record 5
Below is a relaxed structure of ZnFe12Co6, with properties calculated at the PBE-GGA level.

Calculated values
Crystal system   trigonal
Spin magnetization   40.3 μB per formula unit
VASP energy   -7.53 eV/atom
Formation enthalpy at 0 K   0.13 eV per atom

Lattice parameters (Å, degrees): 6.116 6.116 6.116 89.55 89.55 89.55
Fractional coordinates of all 19 atoms:
Zn: 0.000 0.000 0.000
Fe: 0.054 0.382 0.143
Fe: 0.143 0.054 0.382
Fe: 0.181 0.589 0.486
Fe: 0.382 0.143 0.054
Fe: 0.411 0.514 0.819
Fe: 0.486 0.181 0.589
Fe: 0.514 0.819 0.411
Fe: 0.589 0.486 0.181
Fe: 0.618 0.857 0.946
Fe: 0.819 0.411 0.514
Fe: 0.857 0.946 0.618
Fe: 0.946 0.618 0.857
Co: 0.121 0.264 0.733
Co: 0.264 0.733 0.121
Co: 0.267 0.879 0.736
Co: 0.733 0.121 0.264
Co: 0.736 0.267 0.879
Co: 0.879 0.736 0.267


Record 6
Below is a relaxed structure of Ta4FeNi, with properties calculated at the PBE-GGA level.

Calculated values
Crystal system   tetragonal
Spin magnetization   0.6 μB per formula unit
VASP energy   -10.47 eV/atom
ΔE to the lowest computed polymorph   0.000 eV per formula unit
Formation enthalpy at 0 K   -0.19 eV per atom

Lattice parameters (Å, degrees): 6.200 6.200 4.928 90.00 90.00 90.00
Fractional coordinates of all 12 atoms:
Ta: 0.158 0.337 0.000
Ta: 0.158 0.663 0.500
Ta: 0.337 0.158 0.500
Ta: 0.337 0.842 0.000
Ta: 0.663 0.158 0.000
Ta: 0.663 0.842 0.500
Ta: 0.842 0.337 0.500
Ta: 0.842 0.663 0.000
Fe: 0.000 0.000 0.250
Fe: 0.000 0.000 0.750
Ni: 0.500 0.500 0.250
Ni: 0.500 0.500 0.750


Record 7
Below is a relaxed structure of SrYTe2, with properties calculated at the PBE-GGA level.

Calculated values
Crystal system   trigonal
Uncorrected formation energy   -3.476 eV per formula unit
Spin magnetization   0.4 μB per formula unit
VASP energy   -4.48 eV/atom
ΔE to the lowest computed polymorph   2.553 eV per formula unit

Lattice parameters (Å, degrees): 9.780 9.780 9.780 28.26 28.26 28.26
Fractional coordinates of all 4 atoms:
Sr: 0.000 0.000 0.000
Y: 0.500 0.500 0.500
Te: 0.399 0.399 0.399
Te: 0.601 0.601 0.601


Record 8
Below is a relaxed structure of Pm7Y12Ho, with properties calculated at the PBE-GGA level.

Calculated values
Crystal system   cubic
Spin magnetization   0.0 μB per formula unit
VASP energy   -5.13 eV/atom
ΔE to the lowest computed polymorph   8.124 eV per formula unit
Formation enthalpy at 0 K   0.64 eV per atom

Lattice parameters (Å, degrees): 9.803 9.803 9.803 109.47 109.47 109.47
Fractional coordinates of all 20 atoms:
Pm: 0.000 0.000 0.500
Pm: 0.000 0.500 0.000
Pm: 0.000 0.500 0.500
Pm: 0.500 0.000 0.000
Pm: 0.500 0.000 0.500
Pm: 0.500 0.500 0.000
Pm: 0.500 0.500 0.500
Y: 0.000 0.247 0.753
Y: 0.000 0.753 0.247
Y: 0.247 0.000 0.753
Y: 0.247 0.247 0.495
Y: 0.247 0.495 0.247
Y: 0.247 0.753 0.000
Y: 0.495 0.247 0.247
Y: 0.505 0.753 0.753
Y: 0.753 0.000 0.247
Y: 0.753 0.247 0.000
Y: 0.753 0.505 0.753
Y: 0.753 0.753 0.505
Ho: 0.000 0.000 0.000


Record 9
Below is a relaxed structure of Nd3YSc7, with properties calculated at the PBE-GGA level.

Calculated values
Crystal system   monoclinic
Spin magnetization   0.3 μB per formula unit
VASP energy   -5.62 eV/atom
Formation enthalpy at 0 K   0.30 eV per atom

Lattice parameters (Å, degrees): 8.044 8.044 5.519 109.99 109.99 81.56
Fractional coordinates of all 11 atoms:
Nd: 0.000 0.000 0.000
Nd: 0.216 0.784 0.500
Nd: 0.784 0.216 0.500
Y: 0.500 0.500 0.000
Sc: 0.034 0.409 0.221
Sc: 0.208 0.208 0.707
Sc: 0.409 0.034 0.221
Sc: 0.500 0.500 0.500
Sc: 0.591 0.966 0.779
Sc: 0.792 0.792 0.293
Sc: 0.966 0.591 0.779


Record 10
Below is a relaxed structure of H2AuCl, with properties calculated at the PBE-GGA level.

Calculated values
Crystal system   cubic
Spin magnetization   0.0 μB per formula unit
VASP energy   -1.80 eV/atom
ΔE to the lowest computed polymorph   3.282 eV per formula unit

Lattice parameters (Å, degrees): 4.064 4.064 4.064 60.00 60.00 60.00
Fractional coordinates of all 4 atoms:
H: 0.250 0.250 0.250
H: 0.750 0.750 0.750
Au: 0.000 0.000 0.000
Cl: 0.500 0.500 0.500


Record 11
Below is a relaxed structure of LiCeSi2Ir2, with properties calculated at the PBE-GGA level.

Calculated values
Crystal system   trigonal
Uncorrected formation energy   -4.819 eV per formula unit
Spin magnetization   0.3 μB per formula unit
VASP energy   -6.87 eV/atom

Lattice parameters (Å, degrees): 4.188 4.188 6.646 90.00 90.00 120.00
Fractional coordinates of all 6 atoms:
Li: 0.000 0.000 0.000
Ce: 0.000 0.000 0.500
Si: 0.333 0.667 0.823
Si: 0.667 0.333 0.177
Ir: 0.333 0.667 0.205
Ir: 0.667 0.333 0.795


Record 12
Below is a relaxed structure of InTcAs2, with properties calculated at the PBE-GGA level.

Calculated values
Crystal system   orthorhombic
Spin magnetization   0.0 μB per formula unit
VASP energy   -5.40 eV/atom
Formation enthalpy at 0 K   0.20 eV per atom

Lattice parameters (Å, degrees): 3.025 3.025 9.938 90.00 90.00 117.73
Fractional coordinates of all 4 atoms:
In: 0.000 0.000 0.000
Tc: 0.000 0.000 0.500
As: 0.500 0.500 0.301
As: 0.500 0.500 0.699


Record 13
Below is a relaxed structure of Li2SbH, with properties calculated at the PBE-GGA level.

Calculated values
Crystal system   cubic
Spin magnetization   0.0 μB per formula unit
VASP energy   -2.70 eV/atom
ΔE to the lowest computed polymorph   1.947 eV per formula unit

Lattice parameters (Å, degrees): 4.505 4.505 4.505 60.00 60.00 60.00
Fractional coordinates of all 4 atoms:
Li: 0.250 0.250 0.250
Li: 0.750 0.750 0.750
Sb: 0.000 0.000 0.000
H: 0.500 0.500 0.500


Record 14
Below is a relaxed structure of TaIn2Ir, with properties calculated at the PBE-GGA level.

Calculated values
Crystal system   cubic
Spin magnetization   2.0 μB per formula unit
VASP energy   -6.19 eV/atom
ΔE to the lowest computed polymorph   1.945 eV per formula unit
Formation enthalpy at 0 K   0.36 eV per atom

Lattice parameters (Å, degrees): 4.720 4.720 4.720 60.00 60.00 60.00
Fractional coordinates of all 4 atoms:
Ta: 0.000 0.000 0.000
In: 0.250 0.250 0.250
In: 0.750 0.750 0.750
Ir: 0.500 0.500 0.500


Record 15
Below is a relaxed structure of InIr2W, with properties calculated at the PBE-GGA level.

Calculated values
Crystal system   tetragonal
Spin magnetization   0.0 μB per formula unit
VASP energy   -8.55 eV/atom
Formation enthalpy at 0 K   -0.20 eV per atom

Lattice parameters (Å, degrees): 2.880 2.880 7.827 90.00 90.00 90.00
Fractional coordinates of all 4 atoms:
In: 0.000 0.000 0.000
Ir: 0.500 0.500 0.269
Ir: 0.500 0.500 0.731
W: 0.000 0.000 0.500


Record 16
Below is a relaxed structure of LiTl12Sb7, with properties calculated at the PBE-GGA level.

Calculated values
Crystal system   trigonal
Uncorrected formation energy   -0.040 eV per formula unit
Spin magnetization   0.0 μB per formula unit
VASP energy   -2.96 eV/atom

Lattice parameters (Å, degrees): 9.180 9.180 9.180 107.53 107.53 107.53
Fractional coordinates of all 20 atoms:
Li: 0.000 0.000 0.000
Tl: 0.091 0.418 0.317
Tl: 0.180 0.360 0.672
Tl: 0.317 0.091 0.418
Tl: 0.328 0.820 0.640
Tl: 0.360 0.672 0.180
Tl: 0.418 0.317 0.091
Tl: 0.582 0.683 0.909
Tl: 0.640 0.328 0.820
Tl: 0.672 0.180 0.360
Tl: 0.683 0.909 0.582
Tl: 0.820 0.640 0.328
Tl: 0.909 0.582 0.683
Sb: 0.008 0.287 0.923
Sb: 0.077 0.992 0.713
Sb: 0.287 0.923 0.008
Sb: 0.500 0.500 0.500
Sb: 0.713 0.077 0.992
Sb: 0.923 0.008 0.287
Sb: 0.992 0.713 0.077


Record 17
Below is a relaxed structure of Pm6Bi3C2, with properties calculated at the PBE-GGA level.

Calculated values
Crystal system   tetragonal
Spin magnetization   0.0 μB per formula unit
VASP energy   -5.88 eV/atom
Formation enthalpy at 0 K   -0.56 eV per atom

Lattice parameters (Å, degrees): 13.620 13.620 13.620 159.15 159.15 29.66
Fractional coordinates of all 11 atoms:
Pm: 0.084 0.584 0.500
Pm: 0.192 0.192 0.000
Pm: 0.416 0.916 0.500
Pm: 0.584 0.084 0.500
Pm: 0.808 0.808 0.000
Pm: 0.916 0.416 0.500
Bi: 0.320 0.320 0.000
Bi: 0.500 0.500 0.000
Bi: 0.680 0.680 0.000
C: 0.104 0.104 0.000
C: 0.896 0.896 0.000


Record 18
Below is a relaxed structure of BaSr5Ca2, with properties calculated at the PBE-GGA level.

Calculated values
Crystal system   orthorhombic
Spin magnetization   0.0 μB per formula unit
VASP energy   -1.78 eV/atom
Formation enthalpy at 0 K   0.01 eV per atom

Lattice parameters (Å, degrees): 8.446 16.882 5.895 90.00 90.00 90.00
Fractional coordinates of all 16 atoms:
Ba: 0.000 0.000 0.000
Ba: 0.500 0.500 0.000
Sr: 0.000 0.500 0.000
Sr: 0.003 0.252 0.000
Sr: 0.246 0.627 0.500
Sr: 0.254 0.127 0.500
Sr: 0.497 0.752 0.000
Sr: 0.500 0.000 0.000
Sr: 0.503 0.248 0.000
Sr: 0.746 0.873 0.500
Sr: 0.754 0.373 0.500
Sr: 0.997 0.748 0.000
Ca: 0.250 0.374 0.500
Ca: 0.250 0.874 0.500
Ca: 0.750 0.126 0.500
Ca: 0.750 0.626 0.500


Record 19
Below is a relaxed structure of AcPmAlZn, with properties calculated at the PBE-GGA level.

Calculated values
Crystal system   cubic
Spin magnetization   0.0 μB per formula unit
VASP energy   -3.72 eV/atom
Formation enthalpy at 0 K   -0.26 eV per atom

Lattice parameters (Å, degrees): 5.406 5.406 5.406 60.00 60.00 60.00
Fractional coordinates of all 4 atoms:
Ac: 0.000 0.000 0.000
Pm: 0.500 0.500 0.500
Al: 0.250 0.250 0.250
Zn: 0.750 0.750 0.750


Record 20
Below is a relaxed structure of HfSbRh2, with properties calculated at the PBE-GGA level.

Calculated values
Crystal system   tetragonal
Uncorrected formation energy   -1.128 eV per formula unit
Spin magnetization   0.0 μB per formula unit
VASP energy   -7.48 eV/atom

Lattice parameters (Å, degrees): 9.210 9.210 9.210 153.38 153.38 38.00
Fractional coordinates of all 8 atoms:
Hf: 0.000 0.000 0.000
Hf: 0.750 0.250 0.500
Sb: 0.250 0.750 0.500
Sb: 0.500 0.500 0.000
Rh: 0.129 0.625 0.004
Rh: 0.375 0.379 0.504
Rh: 0.621 0.125 0.996
Rh: 0.875 0.871 0.496


Record 21
Below is a relaxed structure of Sr6Zn2Bi, with properties calculated at the PBE-GGA level.

Calculated values
Crystal system   orthorhombic
Spin magnetization   0.0 μB per formula unit
VASP energy   -2.15 eV/atom
Formation enthalpy at 0 K   -0.32 eV per atom

Lattice parameters (Å, degrees): 9.700 9.700 9.700 112.89 108.50 107.09
Fractional coordinates of all 18 atoms:
Sr: 0.047 0.245 0.802
Sr: 0.179 0.272 0.451
Sr: 0.179 0.728 0.907
Sr: 0.330 0.024 0.694
Sr: 0.330 0.636 0.306
Sr: 0.443 0.245 0.198
Sr: 0.557 0.755 0.802
Sr: 0.670 0.364 0.694
Sr: 0.670 0.976 0.306
Sr: 0.821 0.272 0.093
Sr: 0.821 0.728 0.549
Sr: 0.953 0.755 0.198
Zn: 0.110 0.610 0.500
Zn: 0.346 0.000 0.346
Zn: 0.654 0.000 0.654
Zn: 0.890 0.390 0.500
Bi: 0.000 0.000 0.000
Bi: 0.500 0.500 0.000


Record 22
Below is a relaxed structure of BeCrTe2, with properties calculated at the PBE-GGA level.

Calculated values
Crystal system   cubic
Uncorrected formation energy   3.444 eV per formula unit
Spin magnetization   4.1 μB per formula unit
VASP energy   -4.05 eV/atom

Lattice parameters (Å, degrees): 4.971 4.971 4.971 60.00 60.00 60.00
Fractional coordinates of all 4 atoms:
Be: 0.000 0.000 0.000
Cr: 0.250 0.250 0.250
Te: 0.500 0.500 0.500
Te: 0.750 0.750 0.750


Record 23
Below is a relaxed structure of Sr2LaPbS4, with properties calculated at the PBE-GGA level.

Calculated values
Crystal system   monoclinic
Uncorrected formation energy   -13.512 eV per formula unit
Spin magnetization   0.0 μB per formula unit
VASP energy   -5.25 eV/atom

Lattice parameters (Å, degrees): 7.339 4.232 7.376 90.00 109.48 90.00
Fractional coordinates of all 8 atoms:
Sr: 0.000 0.000 0.000
Sr: 0.000 0.500 0.500
La: 0.500 0.000 0.500
Pb: 0.500 0.500 0.000
S: 0.254 0.000 0.745
S: 0.254 0.500 0.255
S: 0.746 0.000 0.255
S: 0.746 0.500 0.745